The following is a PBE calculation of a relaxed structure of Pm3Al2BOs3, from Alexandria via LeMat-Bulk.

a = 7.3375 Å, b = 7.3375 Å, c = 3.6255 Å
α = 90.00°, β = 90.00°, γ = 120.00°
Last column: nearest neighbours and their distance in Å.
Space group P-62m (No. 189)
Inequivalent atoms, fractional coordinates:
Pm (0.0000, 0.6315, 0.0000)  1 B 2.70, 4 Al 2.95, 4 Os 2.98
Al (0.3333, 0.6667, 0.5000)  3 Os 2.92, 6 Pm 2.95
B (0.0000, 0.0000, 0.0000)  6 Os 2.46, 3 Pm 2.70
Os (0.0000, 0.2261, 0.5000)  2 B 2.46

Properties
Formation enthalpy at 0 K in eV per atom: -0.0467
E_tot in eV per atom: -6.947

The following is a PBE calculation of a relaxed structure of PmAl2BOs2, from Alexandria via LeMat-Bulk.

a = 4.2274 Å, b = 4.2274 Å, c = 5.5558 Å
α = 90.00°, β = 90.00°, γ = 90.00°
Last column: nearest neighbours and their distance in Å.
Space group P4/mmm (No. 123)
Inequivalent atoms, fractional coordinates:
Pm (0.0000, 0.0000, 0.0000)  2 B 2.78
Al (0.5000, 0.5000, 0.2377)  4 Os 2.57, 1 Al 2.64
B (0.0000, 0.0000, 0.5000)  4 Os 2.11
Os (0.0000, 0.5000, 0.5000)  2 B 2.11

Properties
Formation enthalpy at 0 K in eV per atom: -0.5226
E_tot in eV per atom: -7.418

The following is a PBE calculation of a relaxed structure of RbAl2BOs, from Alexandria via LeMat-Bulk.

a = 5.6248 Å, b = 5.6248 Å, c = 4.9208 Å
α = 90.00°, β = 90.00°, γ = 90.00°
Last column: nearest neighbours and their distance in Å.
Space group P4/mmm (No. 123)
Inequivalent atoms, fractional coordinates:
Rb (0.0000, 0.0000, 0.0000)  2 Os 2.46
Al (0.0000, 0.5000, 0.0000)  2 Rb 2.81
B (0.5000, 0.5000, 0.5000)  8 Al 3.74, 4 Os 3.98
Os (0.0000, 0.0000, 0.5000)  2 Rb 2.46

Properties
Formation enthalpy at 0 K in eV per atom: 3.3750
E_tot in eV per atom: -1.897

The following is a PBE calculation of a relaxed structure of Al2BOsRh, from Alexandria via LeMat-Bulk.

a = 4.1540 Å, b = 4.1540 Å, c = 3.9181 Å
α = 90.00°, β = 90.00°, γ = 90.00°
Last column: nearest neighbours and their distance in Å.
Space group P4/mmm (No. 123)
Inequivalent atoms, fractional coordinates:
Al (0.0000, 0.5000, 0.0000)  2 B 2.08
B (0.0000, 0.0000, 0.0000)  2 Os 1.96, 4 Al 2.08
Os (0.0000, 0.0000, 0.5000)  2 B 1.96
Rh (0.5000, 0.5000, 0.5000)  8 Al 2.86, 4 Os 2.94

Properties
Formation enthalpy at 0 K in eV per atom: 0.0083
E_tot in eV per atom: -6.540